YMgAgPb | GGA-PBE | relaxed

Unit cell a=5.147 b=5.147 c=5.147 alpha=60.00 beta=60.00 gamma=60.00
Fractional positions:
Ag 0.000 0.000 0.000
Y 0.750 0.750 0.750
Pb 0.500 0.500 0.500
Mg 0.250 0.250 0.250

Computed properties:
VASP energy ... -15.84 eV for the cell shown
V ... 24.1 Å³/atom
DOS(E_F) ... 0.251 states/eV per atom
Size of the total moment ... 0.000 Bohr magnetons per cell
Mass density ... 7.4 g/cm³


MgZnAgPb | GGA-PBE | relaxed

Unit cell a=4.969 b=4.969 c=4.969 alpha=60.00 beta=60.00 gamma=60.00
Fractional positions:
Zn 0.500 0.500 0.500
Mg 0.250 0.250 0.250
Ag 0.000 0.000 0.000
Pb 0.750 0.750 0.750

Computed properties:
VASP energy ... -9.18 eV for the cell shown
V ... 21.7 Å³/atom
DOS(E_F) ... 0.437 states/eV per atom
Size of the total moment ... 0.000 Bohr magnetons per cell
Mass density ... 7.7 g/cm³


MgZrAgPb | GGA-PBE | relaxed

Unit cell a=4.995 b=4.995 c=4.995 alpha=60.00 beta=60.00 gamma=60.00
Fractional positions:
Mg 0.500 0.500 0.500
Zr 0.000 0.000 0.000
Ag 0.250 0.250 0.250
Pb 0.750 0.750 0.750

Computed properties:
VASP energy ... -16.61 eV for the cell shown
V ... 22.0 Å³/atom
DOS(E_F) ... 0.816 states/eV per atom
Size of the total moment ... 0.000 Bohr magnetons per cell
Mass density ... 8.1 g/cm³


MgZrAgPb | GGA-PBE | relaxed

Unit cell a=4.230 b=4.332 c=4.715 alpha=90.00 beta=90.00 gamma=90.00
Fractional positions:
Zr 0.500 0.000 0.500
Ag 0.000 0.000 0.000
Mg 0.500 0.500 0.000
Pb 0.000 0.500 0.500

Computed properties:
VASP energy ... -17.28 eV for the cell shown
V ... 21.6 Å³/atom
DOS(E_F) ... 0.470 states/eV per atom
Size of the total moment ... 0.000 Bohr magnetons per cell
Mass density ... 8.3 g/cm³